1.
Compound: SrMnRh2C
Source: the Alexandria database
Functional: PBE-GGA
Structure: relaxed

a b c (Å): 4.090 4.090 5.037
angles (deg): 90.00 90.00 90.00
Fractional positions:
Sr (0.000, 0.000, 0.000)
Mn (0.500, 0.500, 0.000)
Rh (0.000, 0.500, 0.500)
Rh (0.500, 0.000, 0.500)
C (0.000, 0.000, 0.500)

Properties
SG ... No. 123
E_form ... 1.86 eV/f.u.



2.
Compound: Ta2MnRhC
Source: the Alexandria database
Functional: PBE-GGA
Structure: relaxed

a b c (Å): 4.282 4.282 3.747
angles (deg): 90.00 90.00 90.00
Fractional positions:
Ta (0.000, 0.500, 0.000)
Ta (0.500, 0.000, 0.000)
Mn (0.000, 0.000, 0.500)
Rh (0.500, 0.500, 0.500)
C (0.000, 0.000, 0.000)

Properties
SG ... No. 123
E_form ... -1.49 eV/f.u.



3.
Compound: Mn2TcRhC
Source: the Alexandria database
Functional: PBE-GGA
Structure: relaxed

a b c (Å): 3.902 3.902 4.012
angles (deg): 90.00 90.00 90.00
Fractional positions:
Mn (0.000, 0.500, 0.000)
Mn (0.500, 0.000, 0.000)
Tc (0.000, 0.000, 0.500)
Rh (0.500, 0.500, 0.500)
C (0.000, 0.000, 0.000)

Properties
SG ... No. 123
E_form ... 0.50 eV/f.u.



4.
Compound: YMnRh2C
Source: the Alexandria database
Functional: PBE-GGA
Structure: relaxed

a b c (Å): 4.246 4.246 3.971
angles (deg): 90.00 90.00 90.00
Fractional positions:
Y (0.000, 0.000, 0.000)
Mn (0.500, 0.500, 0.000)
Rh (0.000, 0.500, 0.500)
Rh (0.500, 0.000, 0.500)
C (0.500, 0.500, 0.500)

Properties
SG ... No. 123
E_form ... -1.49 eV/f.u.



5.
Compound: Zr2MnRhC
Source: the Alexandria database
Functional: PBE-GGA
Structure: relaxed

a b c (Å): 4.590 4.590 3.656
angles (deg): 90.00 90.00 90.00
Fractional positions:
Zr (0.000, 0.500, 0.000)
Zr (0.500, 0.000, 0.000)
Mn (0.000, 0.000, 0.500)
Rh (0.500, 0.500, 0.500)
C (0.000, 0.000, 0.000)

Properties
SG ... No. 123
E_form ... -2.44 eV/f.u.
Excess energy over the best structure of this formula in the dataset ... 0 meV/atom



6.
Compound: Zr2MnRhC
Source: the Alexandria database
Functional: PBE-GGA
Structure: relaxed

a b c (Å): 4.938 4.938 4.653
angles (deg): 90.00 90.00 90.00
Fractional positions:
Zr (0.000, 0.500, 0.000)
Zr (0.500, 0.000, 0.000)
Mn (0.000, 0.000, 0.500)
Rh (0.000, 0.000, 0.000)
C (0.500, 0.500, 0.500)

Properties
SG ... No. 123
E_form ... 7.52 eV/f.u.
Excess energy over the best structure of this formula in the dataset ... 1991 meV/atom



7.
Compound: ZrMn2RhC
Source: the Alexandria database
Functional: PBE-GGA
Structure: relaxed

a b c (Å): 3.860 3.860 4.556
angles (deg): 90.00 90.00 90.00
Fractional positions:
Zr (0.000, 0.000, 0.000)
Mn (0.000, 0.500, 0.500)
Mn (0.500, 0.000, 0.500)
Rh (0.500, 0.500, 0.000)
C (0.000, 0.000, 0.500)

Properties
SG ... No. 123
E_form ... -1.10 eV/f.u.



8.
Compound: ZrMn2RhC
Source: the Alexandria database
Functional: PBE-GGA
Structure: relaxed

a b c (Å): 3.926 3.926 4.161
angles (deg): 90.00 90.00 90.00
Fractional positions:
Zr (0.000, 0.000, 0.000)
Mn (0.000, 0.500, 0.500)
Mn (0.500, 0.000, 0.500)
Rh (0.500, 0.500, 0.000)
C (0.500, 0.500, 0.500)

Properties
SG ... No. 123
E_form ... -1.10 eV/f.u.



9.
Compound: MnRuC
Source: the Alexandria database
Functional: PBE-GGA
Structure: relaxed

a b c (Å): 4.919 4.919 4.887
angles (deg): 103.35 103.35 34.32
Fractional positions:
Mn (0.131, 0.131, 0.355)
Mn (0.869, 0.869, 0.645)
Ru (0.390, 0.390, 0.152)
Ru (0.610, 0.610, 0.848)
C (0.248, 0.248, 0.750)
C (0.752, 0.752, 0.250)

Properties
SG ... No. 12
E_form ... 0.63 eV/f.u.



10.
Compound: Mn2RuC
Source: the Alexandria database
Functional: PBE-GGA
Structure: relaxed

a b c (Å): 4.933 4.933 4.933
angles (deg): 101.72 101.72 126.43
Fractional positions:
Mn (0.027, 0.625, 0.902)
Mn (0.375, 0.277, 0.402)
Mn (0.723, 0.125, 0.098)
Mn (0.875, 0.973, 0.598)
Ru (0.250, 0.750, 0.500)
Ru (0.500, 0.500, 0.000)
C (0.000, 0.000, 0.000)
C (0.750, 0.250, 0.500)

Properties
SG ... No. 122
E_form ... 1.32 eV/f.u.



11.
Compound: Mn21Ru2C6
Source: the Alexandria database
Functional: PBE-GGA
Structure: relaxed

a b c (Å): 7.380 7.380 7.380
angles (deg): 60.00 60.00 60.00
Fractional positions:
Mn (0.000, 0.000, 0.000)
Mn (0.000, 0.000, 0.333)
Mn (0.000, 0.000, 0.667)
Mn (0.000, 0.333, 0.000)
Mn (0.000, 0.333, 0.667)
Mn (0.000, 0.667, 0.000)
Mn (0.000, 0.667, 0.333)
Mn (0.151, 0.616, 0.616)
Mn (0.333, 0.000, 0.000)
Mn (0.333, 0.000, 0.667)
Mn (0.333, 0.667, 0.000)
Mn (0.384, 0.384, 0.384)
Mn (0.384, 0.384, 0.849)
Mn (0.384, 0.849, 0.384)
Mn (0.616, 0.151, 0.616)
Mn (0.616, 0.616, 0.151)
Mn (0.616, 0.616, 0.616)
Mn (0.667, 0.000, 0.000)
Mn (0.667, 0.000, 0.333)
Mn (0.667, 0.333, 0.000)
Mn (0.849, 0.384, 0.384)
Ru (0.250, 0.250, 0.250)
Ru (0.750, 0.750, 0.750)
C (0.276, 0.276, 0.724)
C (0.276, 0.724, 0.276)
C (0.276, 0.724, 0.724)
C (0.724, 0.276, 0.276)
C (0.724, 0.276, 0.724)
C (0.724, 0.724, 0.276)

Properties
SG ... No. 225
E_form ... -1.93 eV/f.u.



12.
Compound: Mn22RuC6
Source: the Alexandria database
Functional: PBE-GGA
Structure: relaxed

a b c (Å): 7.394 7.394 7.394
angles (deg): 60.00 60.00 60.00
Fractional positions:
Mn (0.000, 0.000, 0.338)
Mn (0.000, 0.000, 0.662)
Mn (0.000, 0.338, 0.000)
Mn (0.000, 0.338, 0.662)
Mn (0.000, 0.662, 0.000)
Mn (0.000, 0.662, 0.338)
Mn (0.147, 0.618, 0.618)
Mn (0.250, 0.250, 0.250)
Mn (0.338, 0.000, 0.000)
Mn (0.338, 0.000, 0.662)
Mn (0.338, 0.662, 0.000)
Mn (0.382, 0.382, 0.382)
Mn (0.382, 0.382, 0.853)
Mn (0.382, 0.853, 0.382)
Mn (0.618, 0.147, 0.618)
Mn (0.618, 0.618, 0.147)
Mn (0.618, 0.618, 0.618)
Mn (0.662, 0.000, 0.000)
Mn (0.662, 0.000, 0.338)
Mn (0.662, 0.338, 0.000)
Mn (0.750, 0.750, 0.750)
Mn (0.853, 0.382, 0.382)
Ru (0.000, 0.000, 0.000)
C (0.277, 0.277, 0.723)
C (0.277, 0.723, 0.277)
C (0.277, 0.723, 0.723)
C (0.723, 0.277, 0.277)
C (0.723, 0.277, 0.723)
C (0.723, 0.723, 0.277)

Properties
SG ... No. 225
E_form ... -1.68 eV/f.u.



13.
Compound: Mn2RuC
Source: the Alexandria database
Functional: PBE-GGA
Structure: relaxed

a b c (Å): 6.588 6.588 6.588
angles (deg): 24.37 24.37 24.37
Fractional positions:
Mn (0.000, 0.000, 0.000)
Mn (0.218, 0.218, 0.218)
Ru (0.445, 0.445, 0.445)
C (0.607, 0.607, 0.607)

Properties
SG ... No. 160
E_form ... 0.12 eV/f.u.



14.
Compound: MnRuC2
Source: the Alexandria database
Functional: PBE-GGA
Structure: relaxed

a b c (Å): 3.648 3.648 3.648
angles (deg): 60.00 60.00 60.00
Fractional positions:
Mn (0.000, 0.000, 0.000)
Ru (0.500, 0.500, 0.500)
C (0.250, 0.250, 0.250)
C (0.750, 0.750, 0.750)

Properties
SG ... No. 225
E_form ... 3.97 eV/f.u.



15.
Compound: MnRuCS
Source: the Alexandria database
Functional: PBE-GGA
Structure: relaxed

a b c (Å): 3.178 3.178 5.924
angles (deg): 105.89 105.89 59.86
Fractional positions:
Mn (0.000, 0.000, 0.000)
Ru (0.454, 0.454, 0.355)
C (0.737, 0.737, 0.210)
S (0.239, 0.239, 0.725)

Properties
SG ... No. 8
Excess energy over the best structure of this formula in the dataset ... 52 meV/atom
Formation energy (no corrections) ... 30.3 meV per atom



16.
Compound: MnRuCS
Source: the Alexandria database
Functional: PBE-GGA
Structure: relaxed

a b c (Å): 5.997 5.997 5.997
angles (deg): 32.38 32.38 32.38
Fractional positions:
Mn (0.000, 0.000, 0.000)
Ru (0.546, 0.546, 0.546)
C (0.888, 0.888, 0.888)
S (0.404, 0.404, 0.404)

Properties
SG ... No. 160
Excess energy over the best structure of this formula in the dataset ... 0 meV/atom
Formation energy (no corrections) ... -22.0 meV per atom



17.
Compound: MnRuCS
Source: the Alexandria database
Functional: PBE-GGA
Structure: relaxed

a b c (Å): 6.535 6.535 6.535
angles (deg): 25.44 25.44 25.44
Fractional positions:
Mn (0.000, 0.000, 0.000)
Ru (0.135, 0.135, 0.135)
C (0.401, 0.401, 0.401)
S (0.257, 0.257, 0.257)

Properties
SG ... No. 160
Excess energy over the best structure of this formula in the dataset ... 50 meV/atom
Formation energy (no corrections) ... 28.1 meV per atom



18.
Compound: MnRuCS
Source: the Alexandria database
Functional: PBE-GGA
Structure: relaxed

a b c (Å): 2.821 6.025 6.025
angles (deg): 26.50 90.00 90.00
Fractional positions:
Mn (0.000, 0.000, 0.000)
Ru (0.500, 0.805, 0.805)
C (0.000, 0.368, 0.368)
S (0.500, 0.600, 0.600)

Properties
SG ... No. 38
Excess energy over the best structure of this formula in the dataset ... 55 meV/atom
Formation energy (no corrections) ... 32.9 meV per atom



19.
Compound: MnRuCS
Source: the Alexandria database
Functional: PBE-GGA
Structure: relaxed

a b c (Å): 3.343 3.343 5.665
angles (deg): 90.00 90.00 120.00
Fractional positions:
Mn (0.000, 0.000, 0.000)
Ru (0.667, 0.333, 0.640)
C (0.000, 0.000, 0.664)
S (0.667, 0.333, 0.213)

Properties
SG ... No. 156
Excess energy over the best structure of this formula in the dataset ... 1 meV/atom
Formation energy (no corrections) ... -20.6 meV per atom



20.
Compound: MnRuCS
Source: the Alexandria database
Functional: PBE-GGA
Structure: relaxed

a b c (Å): 3.205 3.962 4.677
angles (deg): 90.00 109.79 90.00
Fractional positions:
Mn (0.000, 0.000, 0.000)
Ru (0.607, 0.500, 0.215)
C (0.614, 0.000, 0.231)
S (0.872, 0.500, 0.743)

Properties
SG ... No. 6
Excess energy over the best structure of this formula in the dataset ... 253 meV/atom
Formation energy (no corrections) ... 230.7 meV per atom



no.,uncorrected energy (eV/atom)
1,-6.584
2,-10.187
3,-8.956
4,-8.210
5,-9.056
6,-7.065
7,-8.913
8,-8.912
9,-9.012
10,-8.879
11,-9.255
12,-9.243
13,-9.181
14,-8.231
15,-7.919
16,-7.971
17,-7.921
18,-7.916
19,-7.970
20,-7.718